<A>
Here is a relaxed structure of TiAl2S2 from Alexandria. Energies are from GGA-PBE.

Cell: 4.7551 4.7551 7.7622 Å, 90.00 90.00 90.00°
Closest atoms and distances in Å follow each position.
Space group I4/mmm (No. 139)
Asymmetric unit:
Ti  0.0000  0.0000  0.0000 (multiplicity 2)  2 Al 2.67
Al  0.0000  0.0000  0.3436 (multiplicity 4)  1 Al 2.43, 4 S 2.49, 1 Ti 2.67
S  0.0000  0.5000  0.2500 (multiplicity 4)  4 Al 2.49

## Properties
Crystal system: tetragonal

---

<B>
Here is a relaxed structure of TiAl2S2 from Alexandria. Energies are from GGA-PBE.

Cell: 7.1740 7.1740 3.3891 Å, 90.00 90.00 90.00°
Closest atoms and distances in Å follow each position.
Space group P4/mbm (No. 127)
Asymmetric unit:
Ti  0.0000  0.0000  0.0000 (multiplicity 2)  4 Al 2.85, 8 S 3.06
Al  0.1212  0.3788  0.0000 (multiplicity 4)  2 S 2.31, 1 Al 2.46
S  0.2237  0.7237  0.5000 (multiplicity 4)  2 Al 2.31

## Properties
Crystal system: tetragonal

---

It comes down to <A>, which is 0.7 kJ/mol of atoms more stable than the next structure.

---

<A>
Here is a relaxed structure of Al2TlS from Alexandria. Energies are from GGA-PBE.

Cell: 6.0126 6.0126 11.5616 Å, 90.00 90.00 90.00°
Closest atoms and distances in Å follow each position.
Space group I-42d (No. 122)
Asymmetric unit:
Al  0.2118  0.2500  0.1250 (multiplicity 8)  2 S 2.44, 2 Tl 2.71
Tl  0.0000  0.0000  0.5000 (multiplicity 4)  4 Al 2.71
S  0.0000  0.0000  0.0000 (multiplicity 4)  4 Al 2.44

## Properties
Crystal system: tetragonal

---

<B>
Here is a relaxed structure of Al2TlS from Alexandria. Energies are from GGA-PBE.

Cell: 6.9186 6.9186 6.9186 Å, 90.00 90.00 90.00°
Closest atoms and distances in Å follow each position.
Space group Fm-3m (No. 225)
Asymmetric unit:
Al  0.2500  0.2500  0.2500 (multiplicity 8)  4 S 3.00, 4 Tl 3.00
Tl  0.0000  0.0000  0.0000 (multiplicity 4)  8 Al 3.00
S  0.0000  0.0000  0.5000 (multiplicity 4)  8 Al 3.00

## Properties
Crystal system: cubic

---

It comes down to <A>, which is 31.7 kJ/mol of atoms more stable than the next structure.

---

<A>
Here is a relaxed structure of AlTlS3 from Alexandria. Energies are from GGA-PBE.

Cell: 5.1398 5.1398 5.1398 Å, 90.00 90.00 90.00°
Closest atoms and distances in Å follow each position.
Space group Pm-3m (No. 221)
Asymmetric unit:
Al  0.0000  0.0000  0.0000 (multiplicity 1)  12 S 3.63
Tl  0.5000  0.5000  0.5000 (multiplicity 1)  6 S 2.57
S  0.0000  0.5000  0.5000 (multiplicity 3)  2 Tl 2.57

## Properties
Crystal system: cubic

---

<B>
Here is a relaxed structure of AlTlS3 from Alexandria. Energies are from GGA-PBE.

Cell: 4.7507 4.7507 4.7507 Å, 90.00 90.00 90.00°
Closest atoms and distances in Å follow each position.
Space group Pm-3m (No. 221)
Asymmetric unit:
Al  0.0000  0.0000  0.0000 (multiplicity 1)  6 S 2.38
Tl  0.5000  0.5000  0.5000 (multiplicity 1)  12 S 3.36
S  0.0000  0.0000  0.5000 (multiplicity 3)  2 Al 2.38

## Properties
Crystal system: cubic

---

It comes down to <B>, which is 93.1 kJ/mol of atoms more stable than the next structure.